Sm3Tm2Pb4 | PBE | optimized geometry

Properties
Mass density ... 9.81 Mg/m³
N(E_F) ... 5.039 states/eV/f.u.
Energy ... -4.66 eV/atom

Lattice parameters (Å, degrees): 16.346 5.061 6.876 90.00 105.67 90.00
Space group C2/m (No. 12)
Unique sites:
Sm 0.000 0.000 0.000 x2
Sm 0.118 0.000 0.585 x4
Tm 0.168 0.500 0.070 x4
Pb 0.008 0.500 0.284 x4
Pb 0.243 0.000 0.286 x4


Ba6P2HBr3 | PBE | optimized geometry

Properties
Mass density ... 4.36 Mg/m³
N(E_F) ... 5.392 states/eV/f.u.
Energy ... -3.89 eV/atom

Lattice parameters (Å, degrees): 7.959 13.781 8.254 90.00 108.76 90.00
Space group C2/m (No. 12)
Unique sites:
Ba 0.236 0.000 0.220 x4
Ba 0.242 0.331 0.220 x8
P 0.000 0.167 0.000 x4
H 0.000 0.500 0.000 x2
Br 0.000 0.000 0.500 x2
Br 0.000 0.331 0.500 x4


Pm3Ni7Ag2 | PBE | optimized geometry

Properties
Mass density ... 8.97 Mg/m³
N(E_F) ... 9.307 states/eV/f.u.
Energy ... -5.30 eV/atom

Lattice parameters (Å, degrees): 5.1850 5.1850 25.3176 90.00 90.00 120.00
Space group R-3m (No. 166, hexagonal axes)
Unique sites:
Pm 0.0000 0.0000 0.0000 x3
Pm 0.0000 0.0000 0.1391 x6
Ni 0.0000 0.0000 0.5000 x3
Ni 0.0010 0.5005 0.9124 x18
Ag 0.0000 0.0000 0.3334 x6


RbBaAg4 | PBE | optimized geometry

Properties
Mass density ... 6.68 Mg/m³
N(E_F) ... 5.442 states/eV/f.u.
Energy ... -2.39 eV/atom

Lattice parameters (Å, degrees): 8.664 8.664 8.664 90.00 90.00 90.00
Space group F-43m (No. 216)
Unique sites:
Rb 0.000 0.000 0.000 x4
Ba 0.250 0.250 0.750 x4
Ag 0.126 0.126 0.374 x16


Er2AlCr | PBE | optimized geometry

Properties
Mass density ... 7.54 Mg/m³
N(E_F) ... 2.809 states/eV/f.u.
Energy ... -5.66 eV/atom

Lattice parameters (Å, degrees): 7.142 7.142 7.142 90.00 90.00 90.00
Space group Fm-3m (No. 225)
Unique sites:
Er 0.250 0.250 0.250 x8
Al 0.000 0.000 0.000 x4
Cr 0.000 0.000 0.500 x4


Y2PaSn | PBE | optimized geometry

Properties
Mass density ... 8.06 Mg/m³
N(E_F) ... 3.967 states/eV/f.u.
Energy ... -6.77 eV/atom

Lattice parameters (Å, degrees): 3.808 3.808 7.490 90.00 90.00 90.00
Space group P4/mmm (No. 123)
Unique sites:
Y 0.000 0.000 0.232 x2
Pa 0.500 0.500 0.500 x1
Sn 0.500 0.500 0.000 x1